1.
Sr2CdRh: optimized geometry, PBE.

## Properties
For the formation energy, the calculation gives -269.3 meV per atom.

a b c (Å): 4.525 4.620 6.257
angles (deg): 90.00 111.13 90.00
Space group Pm (No. 6)
Unique sites:
Sr 0.000 0.000 0.000 [1 per cell]
Sr 0.281 0.500 0.563 [1 per cell]
Cd 0.577 0.500 0.154 [1 per cell]
Rh 0.704 0.000 0.410 [1 per cell]

---

2.
SrCaTiBr2: optimized geometry, PBE.

## Properties
The formation energy (no corrections) comes out at -3.16 kcal/mol of atoms.

a b c (Å): 5.712 5.712 7.073
angles (deg): 90.00 90.00 90.00
Space group P4/mmm (No. 123)
Unique sites:
Sr 0.000 0.000 0.000 [1 per cell]
Ca 0.500 0.500 0.500 [1 per cell]
Ti 0.000 0.000 0.500 [1 per cell]
Br 0.000 0.500 0.000 [2 per cell]

---

3.
DyPdAu4: optimized geometry, PBE.

## Properties
For the formation energy, the calculation gives -447.7 meV per atom.

a b c (Å): 7.764 7.764 7.764
angles (deg): 90.00 90.00 90.00
Space group F-43m (No. 216)
Unique sites:
Dy 0.000 0.000 0.000 [4 per cell]
Pd 0.250 0.250 0.750 [4 per cell]
Au 0.125 0.125 0.375 [16 per cell]

---

Number 1: Fermi-level density of states 0.65 states/eV/atom. Number 2: Fermi-level density of states 3.46 states/eV/atom. Number 3: Fermi-level density of states 0.63 states/eV/atom.